# 1
A plane-wave DFT calculation with GGA-PBE was carried out for an optimized crystal structure of Ce2PrWN4.

CIF file:
```
data_Ce2PrWN4
_space_group_name_H-M_alt 'P 1'
_space_group_IT_number 1
_cell_length_a 6.273
_cell_length_b 6.273
_cell_length_c 11.935
_cell_angle_alpha 90.00
_cell_angle_beta 90.00
_cell_angle_gamma 147.60
loop_
_space_group_symop_operation_xyz
'x,y,z'
loop_
_atom_site_label
_atom_site_type_symbol
_atom_site_fract_x
_atom_site_fract_y
_atom_site_fract_z
_atom_site_occupancy
Ce1 Ce 0.133 0.867 0.542 1
Ce2 Ce 0.133 0.867 0.958 1
Ce3 Ce 0.867 0.133 0.042 1
Ce4 Ce 0.867 0.133 0.458 1
Pr1 Pr 0.382 0.618 0.750 1
Pr2 Pr 0.618 0.382 0.250 1
W1 W 0.354 0.646 0.250 1
W2 W 0.646 0.354 0.750 1
N1 N 0.058 0.942 0.750 1
N2 N 0.235 0.765 0.130 1
N3 N 0.235 0.765 0.370 1
N4 N 0.500 0.500 0.000 1
N5 N 0.500 0.500 0.500 1
N6 N 0.765 0.235 0.630 1
N7 N 0.765 0.235 0.870 1
N8 N 0.942 0.058 0.250 1
```

## Properties
V in Å³ per cell: 251.69
E_form (uncorrected) in eV per atom: -1.040
Fermi-level density of states in states/eV per cell: 13.26
Symmetry: Cmcm, No. 63

# 2
A plane-wave DFT calculation with GGA-PBE was carried out for an optimized crystal structure of CePr2WN5.

CIF file:
```
data_CePr2WN5
_space_group_name_H-M_alt 'P 1'
_space_group_IT_number 1
_cell_length_a 7.317
_cell_length_b 7.317
_cell_length_c 10.698
_cell_angle_alpha 90.00
_cell_angle_beta 90.00
_cell_angle_gamma 151.83
loop_
_space_group_symop_operation_xyz
'x,y,z'
loop_
_atom_site_label
_atom_site_type_symbol
_atom_site_fract_x
_atom_site_fract_y
_atom_site_fract_z
_atom_site_occupancy
Ce1 Ce 0.211 0.789 0.500 1
Ce2 Ce 0.789 0.211 0.000 1
Pr1 Pr 0.106 0.894 0.170 1
Pr2 Pr 0.147 0.853 0.791 1
Pr3 Pr 0.853 0.147 0.291 1
Pr4 Pr 0.894 0.106 0.670 1
W1 W 0.479 0.521 0.934 1
W2 W 0.521 0.479 0.434 1
N1 N 0.037 0.963 0.512 1
N2 N 0.278 0.722 0.151 1
N3 N 0.335 0.665 0.872 1
N4 N 0.378 0.622 0.487 1
N5 N 0.486 0.514 0.266 1
N6 N 0.514 0.486 0.766 1
N7 N 0.622 0.378 0.987 1
N8 N 0.665 0.335 0.372 1
N9 N 0.722 0.278 0.651 1
N10 N 0.963 0.037 0.012 1
```

## Properties
V in Å³ per cell: 270.43
E_form (uncorrected) in eV per atom: -1.092
Fermi-level density of states in states/eV per cell: 9.87
Symmetry: Cmc2_1, No. 36

Which of these has the highest E_form (uncorrected)?
Ce2PrWN4

What is the E_form (uncorrected) in the first record?
-1.040 eV per atom

Look up the V of the first one.
251.69 Å³ per cell

Among the records above, which one has the lowest V?
Ce2PrWN4